5
Lattice="-1.954 1.954 6.247 1.954 -1.954 6.247 1.954 1.954 -6.247" Properties=species:S:1:pos:R:3 comment="LiThAlPd2, optimized geometry, DFT PBE-GGA" volume_a3_per_atom=19.09 e_form_ev_per_atom=-0.6776 m_tot_mub_per_cell=0.0 dft_energy_ev_per_atom=-5.37 sg="I-4m2, No. 119" pbc="T T T"
Li 0.000 0.000 0.000
Th 0.000 1.954 3.124
Al 0.000 0.000 6.247
Pd 1.954 0.000 1.741
Pd 1.954 0.000 4.506